DFT (PBE-GGA) results for a relaxed structure of Li2LaInO.

Unit cell a=4.811 b=4.811 c=4.693 alpha=90.00 beta=90.00 gamma=90.00
Space group P4/mmm (No. 123)
Unique sites:
1 Li 0.000 0.500 0.000
2 La 0.000 0.000 0.500
3 In 0.500 0.500 0.000
4 O 0.500 0.500 0.500

## Properties
ΔE_f (raw) in eV per formula unit: -0.67
Polymorph energy (0 for the lowest one) in eV per formula unit: 4.930
Theoretical density in g/cm³: 4.3
Uncorrected energy in eV/cell: -17.127
Crystal system: tetragonal

=====

DFT (PBE-GGA) results for a relaxed structure of LiLaInP.

Unit cell a=9.791 b=4.107 c=4.971 alpha=90.00 beta=105.18 gamma=90.00
Space group Cm (No. 8)
Unique sites:
1 Li 0.000 0.000 0.000
2 La 0.349 0.000 0.423
3 In 0.194 0.500 0.871
4 P 0.076 0.000 0.541

## Properties
Polymorph energy (0 for the lowest one) in eV per formula unit: 0.236
Theoretical density in g/cm³: 5.0
Uncorrected energy in eV/cell: -35.472
E_form in meV/atom: -687
Crystal system: monoclinic

=====

DFT (PBE-GGA) results for a relaxed structure of LiLa2InP.

Unit cell a=5.724 b=5.724 c=4.538 alpha=90.00 beta=90.00 gamma=90.00
Space group P4/mmm (No. 123)
Unique sites:
1 Li 0.000 0.000 0.000
2 La 0.000 0.500 0.500
3 In 0.500 0.500 0.000
4 P 0.000 0.000 0.500

## Properties
Theoretical density in g/cm³: 4.8
Uncorrected energy in eV/cell: -23.266
E_form in meV/atom: -670
Crystal system: tetragonal